Computed, not measured: an optimized crystal structure of Y2BeGaIr2 at the PBE-GGA level of DFT.

Computed properties:
Crystal system: orthorhombic
VASP energy (Ry per atom): -0.50985
Calculated volume (Å³ per atom): 18.6
Magnetic moment (Bohr magnetons per cell): 0.00

abc: 5.7569 13.5188 5.7448
angles: 90.00 90.00 90.00
Last column: nearest neighbours and their distance in Å.
Space group Ibam (No. 72)
Asymmetric unit:
Y1 0.2361 0.1708 0.0000  5 Ir 2.91-3.12, 2 Ga 3.04, 2 Be 3.11
Be1 0.0000 0.5000 0.2500  4 Ir 2.38
Ga1 0.0000 0.0000 0.2500  4 Ir 2.60, 2 Ga 2.87, 2 Be 2.88
Ir1 0.2171 0.3946 0.0000  2 Be 2.38, 2 Ga 2.60